Density functional theory data (PBE) for a geometry-optimized NaCo2GePd structure.

Calculated values
Space-group type: P4/mmm (123)
Formation enthalpy at 0 K (eV/atom): 1.664

Unit cell a=4.330 b=4.760 c=4.330 alpha=90.00 beta=90.00 gamma=90.00
Element x y z (fractional)
Pd (0.500, 0.500, 0.500)
Ge (0.000, 0.500, 0.000)
Na (0.000, 0.000, 0.000)
Co (0.500, 0.000, 0.000)
Co (0.000, 0.000, 0.500)

Density functional theory data (PBE) for a geometry-optimized NaCoGe2Pt structure.

Calculated values
Space-group type: I-4m2 (119)
Formation enthalpy at 0 K (eV/atom): -0.310

Unit cell a=4.023 b=4.023 c=6.085 alpha=109.30 beta=109.30 gamma=90.00
Element x y z (fractional)
Na (0.000, 0.000, 0.000)
Ge (0.622, 0.622, 0.243)
Ge (0.378, 0.378, 0.757)
Pt (0.250, 0.750, 0.500)
Co (0.750, 0.250, 0.500)

Q: The highest formation enthalpy at 0 K belongs to which entry?
A: NaCo2GePd

Please write out number 1 again, unchanged.
Density functional theory data (PBE) for a geometry-optimized NaCo2GePd structure.

Calculated values
Space-group type: P4/mmm (123)
Formation enthalpy at 0 K (eV/atom): 1.664

Unit cell a=4.330 b=4.760 c=4.330 alpha=90.00 beta=90.00 gamma=90.00
Element x y z (fractional)
Pd (0.500, 0.500, 0.500)
Ge (0.000, 0.500, 0.000)
Na (0.000, 0.000, 0.000)
Co (0.500, 0.000, 0.000)
Co (0.000, 0.000, 0.500)

Q: Which value of formation enthalpy at 0 K does entry 2 give?
A: -0.310 eV/atom

Q: Which of these has the highest formation enthalpy at 0 K?
A: NaCo2GePd